Record 1
meta-GGA SCAN CsScSb3, single point on PBEsol structure; DFT total energy = -156.3 eV per cell; calculated volume = 199 Å³/f.u.; formation energy from raw total energies = 1515 meV per atom; Fermi-level density of states = 2.9 states/eV per cell; total magnetic moment = 0.000 μB/atom
1.0
5.8342 0.0000 0.0000
0.0000 5.8342 0.0000
0.0000 0.0000 5.8342
Cs Sb Sc
1 3 1
Cartesian
0.0000 0.0000 0.0000
0.0000 0.0000 2.9171
0.0000 2.9171 0.0000
2.9171 0.0000 0.0000
2.9171 2.9171 2.9171

Record 2
meta-GGA SCAN ReOs2Pt, single point on PBEsol structure; DFT total energy = -284.8 eV per cell; calculated volume = 57 Å³/f.u.; Fermi-level density of states = 2.6 states/eV per cell; total magnetic moment = 0.000 μB/atom
1.0
3.8785 0.0000 0.0000
0.0000 3.8785 0.0000
-1.9392 -1.9392 3.7929
Os Pt Re
2 1 1
Cartesian
1.9392 0.0000 1.8965
0.0000 1.9392 1.8965
1.9392 1.9392 0.0000
0.0000 0.0000 0.0000

Record 3
meta-GGA SCAN NiAg2Pb, single point on PBEsol structure; DFT total energy = -153.8 eV per cell; calculated volume = 69 Å³/f.u.; Fermi-level density of states = 1.5 states/eV per cell; total magnetic moment = 0.000 μB/atom
1.0
-0.2238 0.1574 3.2051
3.5025 -2.6121 0.3729
1.2861 5.1516 -1.7774
Ag Ni Pb
2 1 1
Cartesian
3.2791 0.9722 1.7955
1.2857 1.7247 0.0051
-0.1119 0.0787 1.6026
1.7512 -1.3061 0.1865

Record 4
meta-GGA SCAN CaZrN2, single point on PBEsol structure; DFT total energy = -66.2 eV per cell; calculated volume = 52 Å³/f.u.; formation energy from raw total energies = -1806 meV per atom; total magnetic moment = 0.000 μB/atom
1.0
-0.2983 2.2334 2.3955
-2.9051 1.4379 0.5551
-2.3771 -2.8108 4.5819
Ca Zr N
1 1 2
Cartesian
0.0000 0.0000 0.0000
-2.7903 0.4302 3.7663
-4.1401 0.7852 5.5247
-1.4405 0.0753 2.0078